The following is a DFT calculation (PBE) of a geometry-optimized Zn3Ag3Au2 structure.

Computed properties:
Formation enthalpy at 0 K   -0.0934 eV/atom
Density of states at the Fermi level   0.220 states/eV per atom

abc: 2.9909 10.8979 16.6857
angles: 90.00 90.00 90.00
Space group Cmcm (No. 63)
Symmetry-distinct sites (fractional):
Zn  0.0000  0.1205  0.0115
Zn  0.0000  0.1248  0.7500
Ag  0.0000  0.1249  0.2500
Ag  0.0000  0.4773  0.1229
Au  0.0000  0.2577  0.6190